[1]
Computed, not measured: crystalline K3Tl at its relaxed geometry at the PBE-GGA level of DFT.

Computed properties:
As for the space group: Fm-3m, No. 225. Its energy of formation from the pure elements is 1.69 kJ/mol of atoms. Its total energy is -5.6 eV per cell. The calculated density is 2.7 Mg/m³.

a = 6.5485 Å, b = 6.5485 Å, c = 6.5485 Å
α = 60.00°, β = 60.00°, γ = 60.00°
Fractional coordinates of all 4 atoms:
Tl 0.7500 0.7500 0.7500
K 0.0000 0.0000 0.0000
K 0.2500 0.2500 0.2500
K 0.5000 0.5000 0.5000

=====

[2]
Computed, not measured: crystalline Pm4Sm2Tl at its relaxed geometry at the PBE-GGA level of DFT.

Computed properties:
As for the space group: Pmna, No. 53. As for the distance to the lowest polymorph of the same formula: 0.038 eV per atom. Its energy of formation from the pure elements is 1.71 kJ/mol of atoms. Its total energy is -61.4 eV per cell. The calculated density is 7.7 Mg/m³.

a = 10.7999 Å, b = 6.7183 Å, c = 6.4420 Å
α = 90.03°, β = 90.00°, γ = 90.00°
Fractional coordinates of all 14 atoms:
Pm 0.7500 0.7499 0.9950
Pm 0.6717 0.5002 0.4963
Pm 0.8283 0.0002 0.4963
Pm 0.7500 0.2499 0.9950
Pm 0.2500 0.7501 0.0050
Pm 0.1717 0.9998 0.5037
Pm 0.3283 0.4998 0.5037
Pm 0.2500 0.2501 0.0050
Sm 0.9986 0.5007 0.2603
Sm 0.0014 0.4993 0.7397
Sm 0.4986 0.9993 0.7397
Sm 0.5014 0.0007 0.2603
Tl 0.0000 0.0000 0.0000
Tl 0.5000 0.5000 0.0000